Entry 1:
Tl2AgP | the Alexandria database | SCAN | single point on PBEsol structure; final energy = -1.7110 hartree per atom; distance to the lowest polymorph of the same formula = 0.000 eV per atom; E_form = 0.061 eV per atom
1.0
4.249 0.000 0.000
-2.124 3.709 -0.014
0.000 -2.431 6.394
P Tl Ag
1 2 1
Cartesian
2.124 1.242 2.351
0.000 0.011 0.431
0.000 0.030 4.349
0.000 2.490 2.432

Entry 2:
CoPbCl2 | the Alexandria database | SCAN | single point on PBEsol structure; final energy = -1.0208 hartree per atom; distance to the lowest polymorph of the same formula = 0.000 eV per atom; formation energy without anion corrections = -0.516 eV/atom
1.0
3.390 0.000 0.000
0.000 5.338 -0.012
-1.695 -2.582 4.566
Pb Co Cl
1 1 2
Cartesian
0.000 2.333 1.584
0.000 0.963 4.203
0.000 5.046 0.213
1.695 -0.162 3.102

Entry 3:
LiPb | the Alexandria database | SCAN | single point on PBEsol structure; final energy = -1.4508 hartree per atom; E_form = -0.393 eV per atom
1.0
-1.491 0.861 -3.054
1.669 -2.657 -1.563
-2.699 -2.119 0.720
Pb Li
1 1
Cartesian
0.000 0.000 0.000
-1.260 -1.958 -1.949